1.
# Mg2Ga5Tc | Alexandria | PBE-GGA | relaxed
data_Mg2Ga5Tc
_cell_length_a 6.9109
_cell_length_b 8.7811
_cell_length_c 5.5849
_cell_angle_alpha 90.00
_cell_angle_beta 128.19
_cell_angle_gamma 90.00
_symmetry_space_group_name_H-M 'C 1 m 1'
_symmetry_Int_Tables_number 8
_symmetry_space_group_name_Hall 'C -2y'
loop_
_atom_site_label
_atom_site_type_symbol
_atom_site_fract_x
_atom_site_fract_y
_atom_site_fract_z
Mg1 Mg 0.0000 0.2504 0.0000
Ga1 Ga 0.1978 0.0000 0.4999
Ga2 Ga 0.2076 0.5000 0.9298
Ga3 Ga 0.2762 0.0000 0.0701
Ga4 Ga 0.4918 0.2148 0.5004
Tc1 Tc 0.3240 0.5000 0.4997
# Energy relative to the elements = -79 meV/atom
# E = -3.666 eV/atom
# Magnetic moment = 0.000 μB per formula unit
# Crystal system = monoclinic

2.
# MgGa3Tc2 | Alexandria | PBE-GGA | relaxed
data_MgGa3Tc2
_cell_length_a 7.0853
_cell_length_b 7.6637
_cell_length_c 6.8301
_cell_angle_alpha 90.00
_cell_angle_beta 101.02
_cell_angle_gamma 90.00
_symmetry_space_group_name_H-M 'C 1 2/c 1'
_symmetry_Int_Tables_number 15
_symmetry_space_group_name_Hall '-C 2yc'
loop_
_atom_site_label
_atom_site_type_symbol
_atom_site_fract_x
_atom_site_fract_y
_atom_site_fract_z
Mg1 Mg 0.0000 0.0746 0.2500
Ga1 Ga 0.0000 0.4099 0.2500
Ga2 Ga 0.2434 0.4152 0.9991
Tc1 Tc 0.1257 0.2606 0.6255
# Energy relative to the elements = 25 meV/atom
# E = -5.209 eV/atom
# Magnetic moment = 0.000 μB per formula unit
# Crystal system = monoclinic

3.
# MgGa8Tc2 | Alexandria | PBE-GGA | relaxed
data_MgGa8Tc2
_cell_length_a 7.0495
_cell_length_b 11.8027
_cell_length_c 4.9803
_cell_angle_alpha 90.00
_cell_angle_beta 101.92
_cell_angle_gamma 90.00
_symmetry_space_group_name_H-M 'C 1 2/m 1'
_symmetry_Int_Tables_number 12
_symmetry_space_group_name_Hall '-C 2y'
loop_
_atom_site_label
_atom_site_type_symbol
_atom_site_fract_x
_atom_site_fract_y
_atom_site_fract_z
Mg1 Mg 0.0000 0.0000 0.0000
Ga1 Ga 0.0000 0.2706 0.0000
Ga2 Ga 0.0873 0.5000 0.7762
Ga3 Ga 0.1998 0.1079 0.5739
Tc1 Tc 0.0000 0.2877 0.5000
# Energy relative to the elements = -26 meV/atom
# E = -4.257 eV/atom
# Magnetic moment = 0.000 μB per formula unit
# Crystal system = monoclinic

4.
# MgGa5Tc2 | Alexandria | PBE-GGA | relaxed
data_MgGa5Tc2
_cell_length_a 3.5242
_cell_length_b 8.4560
_cell_length_c 9.4506
_cell_angle_alpha 90.00
_cell_angle_beta 90.00
_cell_angle_gamma 90.00
_symmetry_space_group_name_H-M 'I m m m'
_symmetry_Int_Tables_number 71
_symmetry_space_group_name_Hall '-I 2 2'
loop_
_atom_site_label
_atom_site_type_symbol
_atom_site_fract_x
_atom_site_fract_y
_atom_site_fract_z
Mg1 Mg 0.0000 0.0000 0.0000
Ga1 Ga 0.0000 0.2034 0.3429
Ga2 Ga 0.0000 0.5000 0.0000
Tc1 Tc 0.0000 0.5000 0.2572
# Energy relative to the elements = -15 meV/atom
# E = -4.698 eV/atom
# Magnetic moment = 0.000 μB per formula unit
# Crystal system = orthorhombic

Q: What is the formula in the second record?
A: MgGa3Tc2

Q: The highest E belongs to which entry?
A: Mg2Ga5Tc